(1)
# PrHoCuAu GGA-PBE relaxed
data_PrHoCuAu
_chemical_formula_sum 'Pr4 Ho4 Cu4 Au4'
_symmetry_space_group_name_H-M 'F -4 3 m'
_symmetry_Int_Tables_number 216
_symmetry_space_group_name_Hall 'F -4 2 3'
_cell_length_a 7.234
_cell_length_b 7.234
_cell_length_c 7.234
_cell_angle_alpha 90.00
_cell_angle_beta 90.00
_cell_angle_gamma 90.00
loop_
_atom_site_label
_atom_site_type_symbol
_atom_site_fract_x
_atom_site_fract_y
_atom_site_fract_z
_atom_site_occupancy
Pr1 Pr 0.000 0.000 0.000 1
Ho1 Ho 0.000 0.000 0.500 1
Cu1 Cu 0.250 0.250 0.750 1
Au1 Au 0.250 0.250 0.250 1
# - energy above the lowest structure with this stoichiometry (eV/f.u.) = 0.14
# - magnetic moment (μB per formula unit) = 0.000
# - energy relative to the elements (eV/atom) = -0.4717
# - volume (A^3/atom) = 23.66

(2)
# CaAl2As GGA-PBE relaxed
data_CaAl2As
_chemical_formula_sum 'Ca4 Al8 As4'
_symmetry_space_group_name_H-M 'F m -3 m'
_symmetry_Int_Tables_number 225
_symmetry_space_group_name_Hall '-F 4 2 3'
_cell_length_a 7.059
_cell_length_b 7.059
_cell_length_c 7.059
_cell_angle_alpha 90.00
_cell_angle_beta 90.00
_cell_angle_gamma 90.00
loop_
_atom_site_label
_atom_site_type_symbol
_atom_site_fract_x
_atom_site_fract_y
_atom_site_fract_z
_atom_site_occupancy
Ca1 Ca 0.000 0.000 0.000 1
Al1 Al 0.250 0.250 0.250 1
As1 As 0.000 0.000 0.500 1
# - energy above the lowest structure with this stoichiometry (eV/f.u.) = 1.63
# - magnetic moment (μB per formula unit) = 0.000
# - energy relative to the elements (eV/atom) = 0.0855
# - volume (A^3/atom) = 21.98

(3)
# LuCuPb2 GGA-PBE relaxed
data_LuCuPb2
_chemical_formula_sum 'Lu1 Cu1 Pb2'
_symmetry_space_group_name_H-M 'P 4/m m m'
_symmetry_Int_Tables_number 123
_symmetry_space_group_name_Hall '-P 4 2'
_cell_length_a 4.672
_cell_length_b 4.672
_cell_length_c 4.384
_cell_angle_alpha 90.00
_cell_angle_beta 90.00
_cell_angle_gamma 90.00
loop_
_atom_site_label
_atom_site_type_symbol
_atom_site_fract_x
_atom_site_fract_y
_atom_site_fract_z
_atom_site_occupancy
Lu1 Lu 0.000 0.000 0.000 1
Cu1 Cu 0.500 0.500 0.000 1
Pb1 Pb 0.000 0.500 0.500 1
# - energy above the lowest structure with this stoichiometry (eV/f.u.) = 0.00
# - magnetic moment (μB per formula unit) = 0.000
# - energy relative to the elements (eV/atom) = -0.0928
# - volume (A^3/atom) = 23.92

(4)
# Tl3PtF GGA-PBE relaxed
data_Tl3PtF
_chemical_formula_sum 'Tl3 Pt1 F1'
_symmetry_space_group_name_H-M 'P m -3 m'
_symmetry_Int_Tables_number 221
_symmetry_space_group_name_Hall '-P 4 2 3'
_cell_length_a 5.337
_cell_length_b 5.337
_cell_length_c 5.337
_cell_angle_alpha 90.00
_cell_angle_beta 90.00
_cell_angle_gamma 90.00
loop_
_atom_site_label
_atom_site_type_symbol
_atom_site_fract_x
_atom_site_fract_y
_atom_site_fract_z
_atom_site_occupancy
Tl1 Tl 0.000 0.000 0.500 1
Pt1 Pt 0.000 0.000 0.000 1
F1 F 0.500 0.500 0.500 1
# - energy above the lowest structure with this stoichiometry (eV/f.u.) = 0.00
# - magnetic moment (μB per formula unit) = 0.000
# - energy relative to the elements, uncorrected (eV per atom) = -0.559
# - volume (A^3/atom) = 30.41

(5)
# Fe3PtRh4 GGA-PBE relaxed
data_Fe3PtRh4
_chemical_formula_sum 'Fe6 Pt2 Rh8'
_symmetry_space_group_name_H-M 'P m m a'
_symmetry_Int_Tables_number 51
_symmetry_space_group_name_Hall '-P 2a 2a'
_cell_length_a 8.734
_cell_length_b 5.469
_cell_length_c 4.610
_cell_angle_alpha 90.00
_cell_angle_beta 90.00
_cell_angle_gamma 90.00
loop_
_atom_site_label
_atom_site_type_symbol
_atom_site_fract_x
_atom_site_fract_y
_atom_site_fract_z
_atom_site_occupancy
Fe1 Fe 0.000 0.000 0.000 1
Fe2 Fe 0.250 0.000 0.339 1
Fe3 Fe 0.250 0.500 0.341 1
Pt1 Pt 0.000 0.500 0.000 1
Rh1 Rh 0.000 0.245 0.500 1
Rh2 Rh 0.250 0.245 0.845 1
# - magnetic moment (μB per formula unit) = 10.176
# - energy relative to the elements (eV/atom) = -0.0437
# - volume (A^3/atom) = 13.76

(6)
# SiSnTe2 GGA-PBE relaxed
data_SiSnTe2
_chemical_formula_sum 'Si4 Sn4 Te8'
_symmetry_space_group_name_H-M 'I -4 2 d'
_symmetry_Int_Tables_number 122
_symmetry_space_group_name_Hall 'I -4 2bw'
_cell_length_a 6.915
_cell_length_b 6.915
_cell_length_c 13.406
_cell_angle_alpha 90.00
_cell_angle_beta 90.00
_cell_angle_gamma 90.00
loop_
_atom_site_label
_atom_site_type_symbol
_atom_site_fract_x
_atom_site_fract_y
_atom_site_fract_z
_atom_site_occupancy
Si1 Si 0.000 0.000 0.000 1
Sn1 Sn 0.000 0.000 0.500 1
Te1 Te 0.204 0.250 0.125 1
# - energy above the lowest structure with this stoichiometry (eV/f.u.) = 0.54
# - magnetic moment (μB per formula unit) = 0.000
# - energy relative to the elements, uncorrected (eV per atom) = 0.250
# - volume (A^3/atom) = 40.06

(7)
# NpSN GGA-PBE relaxed
data_NpSN
_chemical_formula_sum 'Np6 S6 N6'
_symmetry_space_group_name_H-M 'R -3 m'
_symmetry_Int_Tables_number 166
_symmetry_space_group_name_Hall '-R 3 2"'
_cell_length_a 3.7756
_cell_length_b 3.7756
_cell_length_c 28.8727
_cell_angle_alpha 90.00
_cell_angle_beta 90.00
_cell_angle_gamma 120.00
loop_
_atom_site_label
_atom_site_type_symbol
_atom_site_fract_x
_atom_site_fract_y
_atom_site_fract_z
_atom_site_occupancy
Np1 Np 0.0000 0.0000 0.2164 1
S1 S 0.0000 0.0000 0.3966 1
N1 N 0.0000 0.0000 0.1389 1
# - energy above the lowest structure with this stoichiometry (eV/f.u.) = 0.01
# - magnetic moment (μB per formula unit) = 2.000
# - energy relative to the elements, uncorrected (eV per atom) = -1.203
# - volume (A^3/atom) = 19.80

(8)
# SrLiSe2O8 GGA-PBE relaxed
data_SrLiSe2O8
_chemical_formula_sum 'Sr3 Li3 Se6 O24'
_symmetry_space_group_name_H-M 'R -3'
_symmetry_Int_Tables_number 148
_symmetry_space_group_name_Hall '-R 3'
_cell_length_a 5.0549
_cell_length_b 5.0549
_cell_length_c 22.1743
_cell_angle_alpha 90.00
_cell_angle_beta 90.00
_cell_angle_gamma 120.00
loop_
_atom_site_label
_atom_site_type_symbol
_atom_site_fract_x
_atom_site_fract_y
_atom_site_fract_z
_atom_site_occupancy
Sr1 Sr 0.0000 0.0000 0.0000 1
Li1 Li 0.0000 0.0000 0.5000 1
Se1 Se 0.0000 0.0000 0.2461 1
O1 O 0.0000 0.0000 0.3224 1
O2 O 0.0088 0.3533 0.4409 1
# - magnetic moment (μB per formula unit) = 1.132
# - energy relative to the elements, uncorrected (eV per atom) = -1.162
# - volume (A^3/atom) = 13.63

(9)
# Ac3Dy5O12 GGA-PBE relaxed
data_Ac3Dy5O12
_chemical_formula_sum 'Ac24 Dy40 O96'
_symmetry_space_group_name_H-M 'I a -3 d'
_symmetry_Int_Tables_number 230
_symmetry_space_group_name_Hall '-I 4bd 2c 3'
_cell_length_a 14.017
_cell_length_b 14.017
_cell_length_c 14.017
_cell_angle_alpha 90.00
_cell_angle_beta 90.00
_cell_angle_gamma 90.00
loop_
_atom_site_label
_atom_site_type_symbol
_atom_site_fract_x
_atom_site_fract_y
_atom_site_fract_z
_atom_site_occupancy
Ac1 Ac 0.000 0.250 0.125 1
Dy1 Dy 0.000 0.000 0.000 1
Dy2 Dy 0.000 0.250 0.375 1
O1 O 0.024 0.058 0.651 1
# - magnetic moment (μB per formula unit) = 0.000
# - energy relative to the elements, uncorrected (eV per atom) = -3.411
# - volume (A^3/atom) = 17.21

(10)
# Zr2ZnSb2 GGA-PBE relaxed
data_Zr2ZnSb2
_chemical_formula_sum 'Zr4 Zn2 Sb4'
_symmetry_space_group_name_H-M 'P 4/m b m'
_symmetry_Int_Tables_number 127
_symmetry_space_group_name_Hall '-P 4 2ab'
_cell_length_a 7.805
_cell_length_b 7.805
_cell_length_c 3.792
_cell_angle_alpha 90.00
_cell_angle_beta 90.00
_cell_angle_gamma 90.00
loop_
_atom_site_label
_atom_site_type_symbol
_atom_site_fract_x
_atom_site_fract_y
_atom_site_fract_z
_atom_site_occupancy
Zr1 Zr 0.141 0.359 0.000 1
Zn1 Zn 0.000 0.000 0.500 1
Sb1 Sb 0.154 0.654 0.500 1
# - energy above the lowest structure with this stoichiometry (eV/f.u.) = 0.61
# - magnetic moment (μB per formula unit) = 0.000
# - energy relative to the elements, uncorrected (eV per atom) = -0.318
# - volume (A^3/atom) = 23.10

(11)
# Sr21In8Pb7 GGA-PBE relaxed
data_Sr21In8Pb7
_chemical_formula_sum 'Sr84 In32 Pb28'
_symmetry_space_group_name_H-M 'F m -3 m'
_symmetry_Int_Tables_number 225
_symmetry_space_group_name_Hall '-F 4 2 3'
_cell_length_a 17.638
_cell_length_b 17.638
_cell_length_c 17.638
_cell_angle_alpha 90.00
_cell_angle_beta 90.00
_cell_angle_gamma 90.00
loop_
_atom_site_label
_atom_site_type_symbol
_atom_site_fract_x
_atom_site_fract_y
_atom_site_fract_z
_atom_site_occupancy
Sr1 Sr 0.000 0.000 0.000 1
Sr2 Sr 0.000 0.159 0.341 1
Sr3 Sr 0.128 0.128 0.128 1
In1 In 0.189 0.189 0.311 1
Pb1 Pb 0.000 0.000 0.213 1
Pb2 Pb 0.000 0.000 0.500 1
# - magnetic moment (μB per formula unit) = 0.000
# - energy relative to the elements (eV/atom) = -0.4984
# - volume (A^3/atom) = 38.10

(12)
# SmPd2Pt4 GGA-PBE relaxed
data_SmPd2Pt4
_chemical_formula_sum 'Sm2 Pd4 Pt8'
_symmetry_space_group_name_H-M 'I 4/m m m'
_symmetry_Int_Tables_number 139
_symmetry_space_group_name_Hall '-I 4 2'
_cell_length_a 6.822
_cell_length_b 6.822
_cell_length_c 5.326
_cell_angle_alpha 90.00
_cell_angle_beta 90.00
_cell_angle_gamma 90.00
loop_
_atom_site_label
_atom_site_type_symbol
_atom_site_fract_x
_atom_site_fract_y
_atom_site_fract_z
_atom_site_occupancy
Sm1 Sm 0.000 0.000 0.000 1
Pd1 Pd 0.000 0.500 0.250 1
Pt1 Pt 0.197 0.197 0.500 1
# - magnetic moment (μB per formula unit) = 0.000
# - energy relative to the elements (eV/atom) = -0.4880
# - volume (A^3/atom) = 17.70

> Among the records above, which one has the highest volume?

SiSnTe2

Please write out number 6 again, unchanged.
# SiSnTe2 GGA-PBE relaxed
data_SiSnTe2
_chemical_formula_sum 'Si4 Sn4 Te8'
_symmetry_space_group_name_H-M 'I -4 2 d'
_symmetry_Int_Tables_number 122
_symmetry_space_group_name_Hall 'I -4 2bw'
_cell_length_a 6.915
_cell_length_b 6.915
_cell_length_c 13.406
_cell_angle_alpha 90.00
_cell_angle_beta 90.00
_cell_angle_gamma 90.00
loop_
_atom_site_label
_atom_site_type_symbol
_atom_site_fract_x
_atom_site_fract_y
_atom_site_fract_z
_atom_site_occupancy
Si1 Si 0.000 0.000 0.000 1
Sn1 Sn 0.000 0.000 0.500 1
Te1 Te 0.204 0.250 0.125 1
# - energy above the lowest structure with this stoichiometry (eV/f.u.) = 0.54
# - magnetic moment (μB per formula unit) = 0.000
# - energy relative to the elements, uncorrected (eV per atom) = 0.250
# - volume (A^3/atom) = 40.06